Material: TmGa2Au2
Method: DFT, PBE-GGA
State: optimized geometry

abc: 3.979 3.979 12.547
angles: 90.00 90.00 90.00
Space group I4/mmm (No. 139)
Inequivalent atoms, fractional coordinates:
Tm 0.000 0.000 0.000 [2 per cell]
Ga 0.000 0.500 0.250 [4 per cell]
Au 0.000 0.000 0.392 [4 per cell]

V: 198.62 Å³ per cell
Total DFT energy (no corrections): -0.1461 Ha/atom

---

Material: UGaAu
Method: DFT, PBE-GGA
State: optimized geometry

abc: 4.8648 4.8648 5.7606
angles: 90.00 90.00 120.00
Space group P6_3/mmc (No. 194)
Inequivalent atoms, fractional coordinates:
U 0.0000 0.0000 0.0000 [2 per cell]
Ga 0.3333 0.6667 0.2500 [2 per cell]
Au 0.3333 0.6667 0.7500 [2 per cell]

V: 118.07 Å³ per cell
Total DFT energy (no corrections): -0.2269 Ha/atom